Below is crystalline La2Ni2O5 at its relaxed geometry, with properties calculated at the GGA-PBEsol level.

a b c (Å): 5.3172 14.9065 5.4485
angles (deg): 90.00 90.00 90.00
Space group Imma (No. 74)
One atom of each set of equivalent atoms:
La 0.0000 0.1233 0.0111 [8 per cell]
Ni 0.0000 0.0000 0.5000 [4 per cell]
Ni 0.0000 0.2500 0.5176 [4 per cell]
O 0.0000 0.1288 0.5799 [8 per cell]
O 0.2500 0.0183 0.2500 [8 per cell]
O 0.2500 0.2500 0.2500 [4 per cell]

Summary:
Uncorrected formation energy in eV/f.u.: -19.7